No. 1
Density functional theory data (meta-GGA SCAN) for a PBEsol-optimized structure of Pr3IrI3.

The structure in extended XYZ format:
```
28
Lattice="-6.163 6.163 6.163 6.163 -6.163 6.163 6.163 6.163 -6.163" Properties=species:S:1:pos:R:3 pbc="T T T"
Pr 1.783 1.541 -1.298
Pr 7.461 1.783 -1.541
Pr 1.541 -1.298 1.783
Pr 4.865 4.380 -1.541
Pr 4.380 1.541 1.298
Pr -1.298 1.783 1.541
Pr 4.380 -1.541 4.865
Pr 1.541 1.298 4.380
Pr 1.298 4.380 1.541
Pr 1.783 -1.541 7.461
Pr -1.541 7.461 1.783
Pr -1.541 4.865 4.380
Ir 4.622 1.541 -1.541
Ir 1.541 1.541 1.541
Ir 1.541 -1.541 4.622
Ir -1.541 4.622 1.541
I 7.704 1.402 1.680
I 7.704 -1.402 4.483
I 4.483 7.704 -1.402
I 4.761 1.680 4.622
I 4.622 4.761 1.680
I 1.680 7.704 1.402
I 7.565 4.483 4.622
I 1.680 4.622 4.761
I 1.402 1.680 7.704
I 4.622 7.565 4.483
I -1.402 4.483 7.704
I 4.483 4.622 7.565
```

## Properties
E_form (uncorrected)	-1.341	eV per atom
SG	I4_132 (214)



No. 2
Density functional theory data (meta-GGA SCAN) for a PBEsol-optimized structure of MoSCl2F.

The structure in extended XYZ format:
```
5
Lattice="5.025 0.000 0.000 0.000 5.025 0.000 0.000 0.000 3.619" Properties=species:S:1:pos:R:3 pbc="T T T"
Mo 0.000 0.000 0.000
S 2.513 2.513 0.000
Cl 0.000 2.513 1.809
Cl 2.513 0.000 1.809
F 2.513 2.513 1.809
```

## Properties
E_form (uncorrected)	0.494	eV per atom
SG	P4/mmm (123)